No. 1
Here is crystalline LiYSb at its relaxed geometry from the Alexandria database. Energies are from PBE.

Cell: 3.5539 3.5539 7.4403 Å, 90.00 90.00 120.00°
Atoms (fractional coordinates):
Li (0.0000, 0.0000, 0.0000)
Y (0.3333, 0.6667, 0.6107)
Sb (0.6667, 0.3333, 0.2821)

As for the energy above the most stable polymorph in this dataset: 622.0 meV per atom. The calculation puts the uncorrected formation energy at -0.21 eV per atom.

No. 2
Here is crystalline Li3ZnSb3 at its relaxed geometry from the Alexandria database. Energies are from PBE.

Cell: 7.6956 7.6956 6.9908 Å, 100.11 100.11 118.16°
Atoms (fractional coordinates):
Li (0.1130, 0.8870, 0.0000)
Li (0.1672, 0.8328, 0.5000)
Li (0.4363, 0.4363, 0.1716)
Li (0.5637, 0.5637, 0.8284)
Li (0.8328, 0.1672, 0.5000)
Li (0.8870, 0.1130, 0.0000)
Zn (0.1677, 0.1677, 0.7521)
Zn (0.8323, 0.8323, 0.2479)
Sb (0.1270, 0.5078, 0.8573)
Sb (0.1950, 0.1950, 0.3713)
Sb (0.4922, 0.8730, 0.1427)
Sb (0.5078, 0.1270, 0.8573)
Sb (0.8050, 0.8050, 0.6287)
Sb (0.8730, 0.4922, 0.1427)

The calculation puts the uncorrected formation energy at -0.25 eV per atom.

No. 3
Here is crystalline LiZnSb3 at its relaxed geometry from the Alexandria database. Energies are from PBE.

Cell: 5.3033 5.3033 5.3033 Å, 90.00 90.00 90.00°
Atoms (fractional coordinates):
Li (0.0000, 0.0000, 0.0000)
Zn (0.5000, 0.5000, 0.5000)
Sb (0.0000, 0.5000, 0.5000)
Sb (0.5000, 0.0000, 0.5000)
Sb (0.5000, 0.5000, 0.0000)

As for the energy above the most stable polymorph in this dataset: 0.0 meV per atom. The calculation puts the uncorrected formation energy at 0.36 eV per atom.

No. 4
Here is crystalline LiZn2Sb2 at its relaxed geometry from the Alexandria database. Energies are from PBE.

Cell: 8.0583 8.0583 8.0583 Å, 151.21 151.21 41.17°
Atoms (fractional coordinates):
Li (0.0000, 0.0000, 0.0000)
Zn (0.2500, 0.7500, 0.5000)
Zn (0.7500, 0.2500, 0.5000)
Sb (0.3758, 0.3758, 0.0000)
Sb (0.6242, 0.6242, 0.0000)

As for the energy above the most stable polymorph in this dataset: 46.4 meV per atom. The calculation puts the uncorrected formation energy at -0.09 eV per atom.